Arrangement 1

Crystalline Mg2AgIr at its relaxed geometry, computed with PBE.

Cell lengths 3.3792, 3.3792, 6.0456 Å; angles 90.00, 90.00, 90.00 degrees
Positions (direct):
1 Mg 0.0000 0.0000 0.0000
2 Mg 0.5000 0.5000 0.3017
3 Ag 0.0000 0.0000 0.5325
4 Ir 0.5000 0.5000 0.8093

Output
The calculated density comes out at 8.39 g/cm3. Its space group is No. 99. The volume is 17.26 Å³/atom.


Arrangement 2

Crystalline Mg2AgIr at its relaxed geometry, computed with PBE.

Cell lengths 3.1876, 3.1876, 6.6020 Å; angles 90.00, 90.00, 90.00 degrees
Positions (direct):
1 Mg 0.0000 0.0000 0.2238
2 Mg 0.0000 0.0000 0.7762
3 Ag 0.5000 0.5000 0.5000
4 Ir 0.5000 0.5000 0.0000

Output
The calculated density comes out at 8.63 g/cm3. Its space group is No. 123. The volume is 16.77 Å³/atom.


According to the calculations, the structures order from most to least stable as arrangement 2, arrangement 1.


Arrangement 1

Crystalline Mg2AgIr at its relaxed geometry, computed with PBE.

Cell lengths 2.8610, 2.8610, 9.3753 Å; angles 90.00, 90.00, 113.55 degrees
Positions (direct):
1 Mg 0.0000 0.0000 0.0000
2 Mg 0.5000 0.5000 0.2833
3 Ag 0.0000 0.0000 0.5288
4 Ir 0.5000 0.5000 0.7807

Output
The calculated density comes out at 8.23 g/cm3. Its space group is No. 35. The volume is 17.59 Å³/atom.


Arrangement 2

Crystalline Mg2AgIr at its relaxed geometry, computed with PBE.

Cell lengths 9.1010, 9.1010, 9.1010 Å; angles 18.80, 18.80, 18.80 degrees
Positions (direct):
1 Mg 0.2445 0.2445 0.2445
2 Mg 0.7555 0.7555 0.7555
3 Ag 0.0000 0.0000 0.0000
4 Ir 0.5000 0.5000 0.5000

Output
The calculated density comes out at 8.46 g/cm3. Its space group is No. 166. The volume is 17.10 Å³/atom.


According to the calculations, the structures order from most to least stable as arrangement 2, arrangement 1.


Arrangement 1

Crystalline Mg2AgIr at its relaxed geometry, computed with PBE.

Cell lengths 4.5394, 4.5394, 3.1927 Å; angles 90.00, 90.00, 90.00 degrees
Positions (direct):
1 Mg 0.0000 0.5000 0.0000
2 Mg 0.5000 0.0000 0.0000
3 Ag 0.0000 0.0000 0.5000
4 Ir 0.5000 0.5000 0.5000

Output
The calculated density comes out at 8.80 g/cm3. Its space group is No. 123. The volume is 16.45 Å³/atom.


Arrangement 2

Crystalline Mg2AgIr at its relaxed geometry, computed with PBE.

Cell lengths 5.4749, 5.4749, 5.4749 Å; angles 145.80, 132.15, 60.12 degrees
Positions (direct):
1 Mg 0.0000 0.0000 0.0000
2 Mg 0.7262 0.2262 0.5000
3 Ag 0.2503 0.7503 0.5000
4 Ir 0.4969 0.4969 0.0000

Output
The calculated density comes out at 8.55 g/cm3. Its space group is No. 44. The volume is 16.94 Å³/atom.


According to the calculations, the structures order from most to least stable as arrangement 1, arrangement 2.


Arrangement 1

Crystalline MgAg2Ir2 at its relaxed geometry, computed with PBE.

Cell lengths 7.6128, 7.6128, 3.0561 Å; angles 90.00, 90.00, 90.00 degrees
Positions (direct):
1 Mg 0.0000 0.0000 0.0000
2 Mg 0.5000 0.5000 0.0000
3 Ag 0.1803 0.3197 0.5000
4 Ag 0.3197 0.8197 0.5000
5 Ag 0.6803 0.1803 0.5000
6 Ag 0.8197 0.6803 0.5000
7 Ir 0.1178 0.6178 0.0000
8 Ir 0.3822 0.1178 0.0000
9 Ir 0.6178 0.8822 0.0000
10 Ir 0.8822 0.3822 0.0000

Output
The calculated density comes out at 11.71 g/cm3. Its space group is No. 127. The volume is 17.71 Å³/atom.


Arrangement 2

Crystalline MgAg2Ir2 at its relaxed geometry, computed with PBE.

Cell lengths 6.8934, 6.8934, 6.8934 Å; angles 147.67, 147.67, 46.37 degrees
Positions (direct):
1 Mg 0.0000 0.0000 0.0000
2 Ag 0.2500 0.7500 0.5000
3 Ag 0.7500 0.2500 0.5000
4 Ir 0.4065 0.4065 0.0000
5 Ir 0.5935 0.5935 0.0000

Output
The calculated density comes out at 11.11 g/cm3. Its space group is No. 139. The volume is 18.67 Å³/atom.


According to the calculations, the structures order from most to least stable as arrangement 1, arrangement 2.


Arrangement 1

Crystalline MnAgIr2 at its relaxed geometry, computed with PBE.

Cell lengths 2.7164, 2.7164, 7.8124 Å; angles 90.00, 90.00, 90.00 degrees
Positions (direct):
1 Mn 0.0000 0.0000 0.0000
2 Ag 0.0000 0.0000 0.5000
3 Ir 0.5000 0.5000 0.2166
4 Ir 0.5000 0.5000 0.7834

Output
The calculated density comes out at 15.76 g/cm3. Its space group is No. 123. The volume is 14.41 Å³/atom.


Arrangement 2

Crystalline MnAgIr2 at its relaxed geometry, computed with PBE.

Cell lengths 2.7672, 4.2818, 5.2911 Å; angles 90.00, 104.46, 90.00 degrees
Positions (direct):
1 Mn 0.0000 0.0000 0.0000
2 Ag 0.0000 0.0000 0.5000
3 Ir 0.3754 0.5000 0.2307
4 Ir 0.6246 0.5000 0.7693

Output
The calculated density comes out at 14.97 g/cm3. Its space group is No. 10. The volume is 15.18 Å³/atom.


Arrangement 3

Crystalline MnAgIr2 at its relaxed geometry, computed with PBE.

Cell lengths 5.6400, 5.6400, 5.6400 Å; angles 102.07, 102.07, 125.57 degrees
Positions (direct):
1 Mn 0.0000 0.0000 0.0000
2 Mn 0.7500 0.2500 0.5000
3 Ag 0.2500 0.7500 0.5000
4 Ag 0.5000 0.5000 0.0000
5 Ir 0.0753 0.1250 0.4503
6 Ir 0.3750 0.9247 0.0497
7 Ir 0.6747 0.6250 0.5497
8 Ir 0.8750 0.3253 0.9503

Output
The calculated density comes out at 14.00 g/cm3. Its space group is No. 122. The volume is 16.22 Å³/atom.


Arrangement 4

Crystalline MnAgIr2 at its relaxed geometry, computed with PBE.

Cell lengths 2.7757, 2.7757, 7.9559 Å; angles 90.00, 90.00, 90.00 degrees
Positions (direct):
1 Mn 0.0000 0.0000 0.0000
2 Ag 0.5000 0.5000 0.2626
3 Ir 0.0000 0.0000 0.5361
4 Ir 0.5000 0.5000 0.7669

Output
The calculated density comes out at 14.83 g/cm3. Its space group is No. 99. The volume is 15.32 Å³/atom.


According to the calculations, the structures order from most to least stable as arrangement 1, arrangement 4, arrangement 2, arrangement 3.


Arrangement 1

Crystalline MnAgIr2 at its relaxed geometry, computed with PBE.

Cell lengths 5.4061, 5.4061, 5.4061 Å; angles 149.90, 129.51, 59.90 degrees
Positions (direct):
1 Mn 0.0000 0.0000 0.0000
2 Ag 0.5000 0.5000 0.0000
3 Ir 0.2255 0.7255 0.5000
4 Ir 0.7745 0.2745 0.5000

Output
The calculated density comes out at 14.99 g/cm3. Its space group is No. 71. The volume is 15.16 Å³/atom.


Arrangement 2

Crystalline MnAgIr2 at its relaxed geometry, computed with PBE.

Cell lengths 4.7397, 4.7397, 4.7397 Å; angles 131.17, 131.17, 71.55 degrees
Positions (direct):
1 Mn 0.0000 0.0000 0.0000
2 Ag 0.5000 0.5000 0.0000
3 Ir 0.2500 0.7500 0.5000
4 Ir 0.7500 0.2500 0.5000

Output
The calculated density comes out at 15.39 g/cm3. Its space group is No. 139. The volume is 14.76 Å³/atom.


According to the calculations, the structures order from most to least stable as arrangement 1, arrangement 2.